Entry 1:
Below is an optimized crystal structure of Hf5Ga2Bi, with properties calculated at the PBE level.

Structure (extended XYZ):
```
16
Lattice="-6.8771 1.7703 -1.5492 -2.2882 -6.1452 3.1350 4.1111 5.1692 4.7077" Properties=species:S:1:pos:R:3 pbc="T T T"
Bi -4.8184 -0.6966 3.5432
Ga -1.7902 -1.9581 0.9080
Ga -7.3751 -2.4168 0.6779
Hf -2.1848 0.2469 4.7107
Hf 0.0000 0.0000 0.0000
Ga -4.4363 -4.6441 2.1372
Hf -4.5826 -2.1874 0.7929
Hf -6.7448 0.2593 1.4067
Hf -2.8694 0.5474 1.5828
Hf -2.7005 -2.8632 3.4461
Hf -6.5759 -3.1513 3.2700
Hf 1.6906 0.5350 4.8868
Hf -2.3536 3.6575 2.8474
Hf 1.5218 3.9456 3.0235
Bi -0.2358 1.4909 2.7503
Ga -4.7290 0.2692 -0.5513
```

Properties
Energy relative to the elements ... -0.329 eV/atom
Final energy ... -7.792 eV/atom
M_tot ... 0.000 μB/cell
Space group ... I4/mcm (140)

---

Entry 2:
Below is an optimized crystal structure of HfGa2Bi2, with properties calculated at the PBE level.

Structure (extended XYZ):
```
10
Lattice="-5.2351 0.7688 5.1338 -4.7971 -3.5025 -4.3673 1.1902 -3.8653 1.7926" Properties=species:S:1:pos:R:3 pbc="T T T"
Hf -5.0161 -1.3668 0.3832
Ga -7.5755 -1.5499 1.6878
Bi -6.8948 -4.3172 0.7274
Bi -1.9472 -2.2818 1.8316
Bi -3.5263 -4.1533 -1.1558
Bi -5.3158 -2.4456 3.7148
Ga -3.9504 0.0212 2.6687
Ga -6.0818 -2.7549 -1.9023
Hf 0.0000 0.0000 0.0000
Ga -2.4568 -1.1838 -0.9214
```

Properties
Energy relative to the elements ... 0.115 eV/atom
Final energy ... -4.638 eV/atom
M_tot ... 0.000 μB/cell
Space group ... P4/mbm (127)

---

The lowest final energy belongs to which entry?
Hf5Ga2Bi

---

Look up the final energy of the first one.
-7.792 eV/atom